Computed, not measured: crystalline Li3Ag3Pb at its relaxed geometry at the PBE level of DFT.

```
Li3Ag3Pb
1.0
-4.311 2.690 -4.895
-5.237 -3.928 -2.631
-6.891 1.603 1.865
Ag Li Pb
6 6 2
Direct
0.945 0.425 0.373
0.055 0.575 0.627
0.742 0.055 0.627
0.258 0.945 0.373
0.425 0.258 0.373
0.575 0.742 0.627
0.708 0.923 0.193
0.077 0.824 0.807
0.176 0.708 0.193
0.923 0.176 0.193
0.292 0.077 0.807
0.824 0.292 0.807
0.357 0.357 0.929
0.643 0.643 0.071
```

Values from the calculation:
**Symmetry**: No. 148
**N(E_F)**: 5.021 states/eV per cell
**ΔE_f**: -64 meV per atom
**Relative energy among the computed polymorphs**: 58 meV per atom